(w)
Here is a relaxed HoSc2Se crystal from Alexandria. Energies are from PBE-GGA.

Cell lengths 3.6323, 3.6323, 26.3005 Å; angles 90.00, 90.00, 120.00 degrees
Space group R3m (No. 160, hexagonal axes)
Unique sites:
1 Ho 0.0000 0.0000 0.0000 [3 per cell]
2 Sc 0.0000 0.0000 0.5646 [3 per cell]
3 Sc 0.0000 0.0000 0.7691 [3 per cell]
4 Se 0.0000 0.0000 0.1665 [3 per cell]

---

(x)
Here is a relaxed HoSc2Se crystal from Alexandria. Energies are from PBE-GGA.

Cell lengths 3.731, 11.186, 8.800 Å; angles 90.00, 90.00, 90.00 degrees
Space group Cmcm (No. 63)
Unique sites:
1 Ho 0.000 0.058 0.250 [4 per cell]
2 Sc 0.000 0.360 0.044 [8 per cell]
3 Se 0.000 0.235 0.750 [4 per cell]

---

(y)
Here is a relaxed HoSc2Se crystal from Alexandria. Energies are from PBE-GGA.

Cell lengths 3.5460, 3.5460, 29.0194 Å; angles 90.00, 90.00, 120.00 degrees
Space group R-3m (No. 166, hexagonal axes)
Unique sites:
1 Ho 0.0000 0.0000 0.0000 [3 per cell]
2 Sc 0.0000 0.0000 0.1094 [6 per cell]
3 Se 0.0000 0.0000 0.5000 [3 per cell]

---

Which one is most stable, and which one is least stable? (x) is the most stable of them, while (y) is the least stable.

---

(w)
Here is a relaxed Ho2ScSe4 crystal from Alexandria. Energies are from PBE-GGA.

Cell lengths 7.983, 7.999, 11.073 Å; angles 90.00, 90.00, 90.00 degrees
Space group Imma (No. 74)
Unique sites:
1 Ho 0.000 0.000 0.000 [4 per cell]
2 Ho 0.250 0.250 0.250 [4 per cell]
3 Sc 0.250 0.250 0.750 [4 per cell]
4 Se 0.000 0.008 0.741 [8 per cell]
5 Se 0.247 0.250 0.505 [8 per cell]

---

(x)
Here is a relaxed Ho2ScSe4 crystal from Alexandria. Energies are from PBE-GGA.

Cell lengths 3.866, 13.296, 13.637 Å; angles 90.00, 90.00, 90.00 degrees
Space group Cmcm (No. 63)
Unique sites:
1 Ho 0.000 0.131 0.074 [8 per cell]
2 Sc 0.000 0.369 0.250 [4 per cell]
3 Se 0.000 0.018 0.250 [4 per cell]
4 Se 0.000 0.220 0.624 [8 per cell]
5 Se 0.000 0.500 0.000 [4 per cell]

---

Which one is most stable, and which one is least stable? (w) is the most stable of them, while (x) is the least stable.

---

(w)
Here is a relaxed SmHo12Sc7 crystal from Alexandria. Energies are from PBE-GGA.

Cell lengths 16.0861, 16.0861, 7.9611 Å; angles 90.00, 90.00, 120.00 degrees
Space group R-3m (No. 166, hexagonal axes)
Unique sites:
1 Sm 0.0000 0.0000 0.0000 [3 per cell]
2 Ho 0.0000 0.2828 0.0000 [18 per cell]
3 Ho 0.1106 0.2211 0.3122 [18 per cell]
4 Sc 0.0000 0.0000 0.5000 [3 per cell]
5 Sc 0.1104 0.5552 0.3969 [18 per cell]

---

(x)
Here is a relaxed SmHo12Sc7 crystal from Alexandria. Energies are from PBE-GGA.

Cell lengths 10.926, 10.926, 10.926 Å; angles 90.00, 90.00, 90.00 degrees
Space group Im-3 (No. 204)
Unique sites:
1 Sm 0.000 0.000 0.000 [2 per cell]
2 Ho 0.000 0.264 0.262 [24 per cell]
3 Sc 0.000 0.000 0.500 [6 per cell]
4 Sc 0.250 0.250 0.250 [8 per cell]

---

Which one is most stable, and which one is least stable? (w) is the most stable of them, while (x) is the least stable.

---

(w)
Here is a relaxed Sm6Ho3Sc2 crystal from Alexandria. Energies are from PBE-GGA.

Cell lengths 4.739, 4.739, 32.208 Å; angles 90.00, 90.00, 90.00 degrees
Space group I4/mmm (No. 139)
Unique sites:
1 Sm 0.000 0.000 0.197 [4 per cell]
2 Sm 0.000 0.500 0.115 [8 per cell]
3 Ho 0.000 0.000 0.303 [4 per cell]
4 Ho 0.000 0.000 0.500 [2 per cell]
5 Sc 0.000 0.000 0.043 [4 per cell]

---

(x)
Here is a relaxed Sm6Ho3Sc2 crystal from Alexandria. Energies are from PBE-GGA.

Cell lengths 6.144, 10.646, 11.247 Å; angles 90.00, 100.53, 90.00 degrees
Space group C2/m (No. 12)
Unique sites:
1 Sm 0.246 0.166 0.238 [8 per cell]
2 Sm 0.247 0.500 0.238 [4 per cell]
3 Ho 0.000 0.166 0.500 [4 per cell]
4 Ho 0.000 0.500 0.500 [2 per cell]
5 Sc 0.000 0.333 0.000 [4 per cell]

---

Which one is most stable, and which one is least stable? (x) is the most stable of them, while (w) is the least stable.

---

(w)
Here is a relaxed Sm6HoSc2 crystal from Alexandria. Energies are from PBE-GGA.

Cell lengths 13.530, 14.088, 6.233 Å; angles 90.00, 106.00, 90.00 degrees
Space group C2/c (No. 15)
Unique sites:
1 Sm 0.055 0.117 0.015 [8 per cell]
2 Sm 0.111 0.456 0.964 [8 per cell]
3 Sm 0.208 0.283 0.724 [8 per cell]
4 Ho 0.000 0.318 0.250 [4 per cell]
5 Sc 0.193 0.064 0.584 [8 per cell]

---

(x)
Here is a relaxed Sm6HoSc2 crystal from Alexandria. Energies are from PBE-GGA.

Cell lengths 5.585, 9.647, 10.385 Å; angles 90.00, 90.00, 90.00 degrees
Space group Cmmm (No. 65)
Unique sites:
1 Sm 0.000 0.000 0.158 [4 per cell]
2 Sm 0.000 0.333 0.327 [8 per cell]
3 Ho 0.000 0.000 0.500 [2 per cell]
4 Sc 0.000 0.333 0.000 [4 per cell]

---

Which one is most stable, and which one is least stable? (x) is the most stable of them, while (w) is the least stable.

---

(w)
Here is a relaxed Sm2Ho8Sc3 crystal from Alexandria. Energies are from PBE-GGA.

Cell lengths 14.615, 8.676, 6.543 Å; angles 90.00, 98.05, 90.00 degrees
Space group C2/m (No. 12)
Unique sites:
1 Sm 0.203 0.000 0.280 [4 per cell]
2 Ho 0.088 0.500 0.886 [4 per cell]
3 Ho 0.109 0.317 0.424 [8 per cell]
4 Ho 0.192 0.000 0.787 [4 per cell]
5 Sc 0.000 0.000 0.500 [2 per cell]
6 Sc 0.000 0.164 0.000 [4 per cell]

---

(x)
Here is a relaxed Sm2Ho8Sc3 crystal from Alexandria. Energies are from PBE-GGA.

Cell lengths 6.028, 6.041, 10.983 Å; angles 90.03, 100.47, 99.52 degrees
Space group P-1 (No. 2)
Unique sites:
1 Sm 0.116 0.269 0.461 [2 per cell]
2 Ho 0.041 0.418 0.147 [2 per cell]
3 Ho 0.193 0.121 0.779 [2 per cell]
4 Ho 0.346 0.808 0.378 [2 per cell]
5 Ho 0.424 0.659 0.700 [2 per cell]
6 Sc 0.273 0.961 0.073 [2 per cell]
7 Sc 0.500 0.500 0.000 [1 per cell]

---

Which one is most stable, and which one is least stable? (x) is the most stable of them, while (w) is the least stable.

---

(w)
Here is a relaxed Sm5Ho5Sc2 crystal from Alexandria. Energies are from PBE-GGA.

Cell lengths 11.744, 5.595, 12.035 Å; angles 90.00, 108.86, 90.00 degrees
Space group C2/m (No. 12)
Unique sites:
1 Sm 0.000 0.000 0.000 [2 per cell]
2 Sm 0.071 0.000 0.744 [4 per cell]
3 Sm 0.197 0.000 0.534 [4 per cell]
4 Ho 0.000 0.500 0.500 [2 per cell]
5 Ho 0.179 0.500 0.977 [4 per cell]
6 Ho 0.238 0.000 0.267 [4 per cell]
7 Sc 0.079 0.500 0.212 [4 per cell]

---

(x)
Here is a relaxed Sm5Ho5Sc2 crystal from Alexandria. Energies are from PBE-GGA.

Cell lengths 14.949, 4.978, 11.145 Å; angles 90.00, 116.50, 90.00 degrees
Space group C2/m (No. 12)
Unique sites:
1 Sm 0.000 0.000 0.000 [2 per cell]
2 Sm 0.164 0.000 0.499 [4 per cell]
3 Sm 0.247 0.500 0.749 [4 per cell]
4 Ho 0.000 0.500 0.500 [2 per cell]
5 Ho 0.080 0.500 0.249 [4 per cell]
6 Ho 0.168 0.500 0.000 [4 per cell]
7 Sc 0.084 0.000 0.753 [4 per cell]

---

Which one is most stable, and which one is least stable? (x) is the most stable of them, while (w) is the least stable.

---

(w)
Here is a relaxed Sm2HoSc crystal from Alexandria. Energies are from PBE-GGA.

Cell lengths 3.5401, 3.5401, 33.9015 Å; angles 90.00, 90.00, 120.00 degrees
Space group R3m (No. 160, hexagonal axes)
Unique sites:
1 Sm 0.0000 0.0000 0.0000 [3 per cell]
2 Sm 0.0000 0.0000 0.1717 [3 per cell]
3 Ho 0.0000 0.0000 0.4189 [3 per cell]
4 Sc 0.0000 0.0000 0.5860 [3 per cell]

---

(x)
Here is a relaxed Sm2HoSc crystal from Alexandria. Energies are from PBE-GGA.

Cell lengths 5.608, 7.179, 6.151 Å; angles 90.00, 90.00, 90.00 degrees
Space group Pmmn (No. 59, origin choice 2)
Unique sites:
1 Sm 0.250 0.002 0.171 [4 per cell]
2 Ho 0.250 0.250 0.659 [2 per cell]
3 Sc 0.250 0.750 0.668 [2 per cell]

---

Which one is most stable, and which one is least stable? (x) is the most stable of them, while (w) is the least stable.